Arrangement a

Density functional theory data (GGA-PBE) for a relaxed CaFeS2Cl crystal.

Cell lengths 5.2509, 5.2509, 5.0597 Å; angles 90.00, 90.00, 90.00 degrees
With the nearest neighbours (Å) after each atom.
Space group P4/mmm (No. 123)
Unique sites:
Ca: 0.0000 0.0000 0.0000 (multiplicity 1)  2 Cl 2.53, 4 S 2.63
Fe: 0.5000 0.5000 0.5000 (multiplicity 1)  8 S 3.65, 4 Cl 3.71
S: 0.0000 0.5000 0.0000 (multiplicity 2)  2 Ca 2.63
Cl: 0.0000 0.0000 0.5000 (multiplicity 1)  2 Ca 2.53

Its crystal system is tetragonal.

---

Arrangement b

Density functional theory data (GGA-PBE) for a relaxed CaFeS2Cl crystal.

Cell lengths 4.5671, 4.5671, 4.8961 Å; angles 90.00, 90.00, 90.00 degrees
With the nearest neighbours (Å) after each atom.
Space group P4/mmm (No. 123)
Unique sites:
Ca: 0.0000 0.0000 0.0000 (multiplicity 1)  4 Cl 3.23, 8 S 3.35
Fe: 0.5000 0.5000 0.5000 (multiplicity 1)  4 S 2.28, 2 Cl 2.45
S: 0.0000 0.5000 0.5000 (multiplicity 2)  2 Fe 2.28
Cl: 0.5000 0.5000 0.0000 (multiplicity 1)  2 Fe 2.45

Its crystal system is tetragonal.

---

arrangement b is preferred energetically. Next in line: 1016 meV per atom higher.